Entry from the Alexandria database: a geometry-optimized PmEr2Os structure (GGA-PBE).

a b c (Å): 5.8807 5.8807 5.8807
angles (deg): 47.77 47.77 47.77
Element x y z (fractional)
Pm  0.0000  0.0000  0.0000
Er  0.2238  0.2238  0.2238
Er  0.7762  0.7762  0.7762
Os  0.5000  0.5000  0.5000

Results
V	25.52	Å³/atom
theoretical density	10.893	g/cm³
SG	R-3m, No. 166
distance to the lowest polymorph of the same formula	0.331	eV/atom

Entry from the Alexandria database: a geometry-optimized PmErOs structure (GGA-PBE).

a b c (Å): 8.2943 8.2943 5.2390
angles (deg): 90.00 90.00 155.60
Element x y z (fractional)
Pm  0.0726  0.9274  0.7500
Pm  0.9274  0.0726  0.2500
Er  0.2097  0.7903  0.2500
Er  0.7903  0.2097  0.7500
Os  0.4231  0.5769  0.7500
Os  0.5769  0.4231  0.2500

Results
V	24.81	Å³/atom
theoretical density	11.210	g/cm³
SG	Cmcm, No. 63
distance to the lowest polymorph of the same formula	0.142	eV/atom

Entry from the Alexandria database: a geometry-optimized PmErOs structure (GGA-PBE).

a b c (Å): 7.1065 7.1065 7.1065
angles (deg): 152.16 152.16 39.78
Element x y z (fractional)
Pm  0.0000  0.0000  0.0000
Er  0.7497  0.7497  0.0000
Os  0.3691  0.3691  0.0000

Results
V	26.04	Å³/atom
theoretical density	10.682	g/cm³
SG	I4mm, No. 107
distance to the lowest polymorph of the same formula	0.000	eV/atom

Entry from the Alexandria database: a geometry-optimized PmEr2Os structure (GGA-PBE).

a b c (Å): 3.3976 3.3976 9.1959
angles (deg): 90.00 90.00 90.00
Element x y z (fractional)
Pm  0.0000  0.0000  0.0000
Er  0.5000  0.5000  0.3224
Er  0.5000  0.5000  0.6776
Os  0.0000  0.0000  0.5000

Results
V	26.54	Å³/atom
theoretical density	10.477	g/cm³
SG	P4/mmm, No. 123
distance to the lowest polymorph of the same formula	0.069	eV/atom

Entry from the Alexandria database: a geometry-optimized PmEr2Os structure (GGA-PBE).

a b c (Å): 7.4497 9.0142 6.3686
angles (deg): 90.00 90.00 90.00
Element x y z (fractional)
Pm  0.0388  0.2500  0.1273
Pm  0.4612  0.7500  0.6273
Pm  0.5388  0.2500  0.3727
Pm  0.9612  0.7500  0.8727
Er  0.1739  0.0639  0.6630
Er  0.1739  0.4361  0.6630
Er  0.3261  0.5639  0.1630
Er  0.3261  0.9361  0.1630
Er  0.6739  0.0639  0.8370
Er  0.6739  0.4361  0.8370
Er  0.8261  0.5639  0.3370
Er  0.8261  0.9361  0.3370
Os  0.1171  0.7500  0.4504
Os  0.3829  0.2500  0.9504
Os  0.6171  0.7500  0.0496
Os  0.8829  0.2500  0.5496

Results
V	26.73	Å³/atom
theoretical density	10.402	g/cm³
SG	Pnma, No. 62
distance to the lowest polymorph of the same formula	0.000	eV/atom

Entry from the Alexandria database: a geometry-optimized PmErOs structure (GGA-PBE).

a b c (Å): 4.8207 4.8422 7.1418
angles (deg): 90.00 109.63 90.00
Element x y z (fractional)
Pm  0.1205  0.2500  0.2401
Pm  0.8795  0.7500  0.7599
Er  0.3686  0.2500  0.7383
Er  0.6314  0.7500  0.2617
Os  0.2498  0.7500  0.4992
Os  0.7502  0.2500  0.5008

Results
V	26.17	Å³/atom
theoretical density	10.628	g/cm³
SG	P2_1/m, No. 11
distance to the lowest polymorph of the same formula	0.004	eV/atom

Entry from the Alexandria database: a geometry-optimized PmErOsPt structure (GGA-PBE).

a b c (Å): 4.9173 4.9173 4.9173
angles (deg): 60.00 60.00 60.00
Element x y z (fractional)
Pm  0.0000  0.0000  0.0000
Er  0.5000  0.5000  0.5000
Os  0.7500  0.7500  0.7500
Pt  0.2500  0.2500  0.2500

Results
V	21.02	Å³/atom
theoretical density	13.778	g/cm³
SG	F-43m, No. 216
uncorrected energy	-0.2653	hartree per atom

Entry from the Alexandria database: a geometry-optimized PmErOsRu structure (GGA-PBE).

a b c (Å): 4.8529 4.8529 4.8529
angles (deg): 60.00 60.00 60.00
Element x y z (fractional)
Pm  0.0000  0.0000  0.0000
Er  0.5000  0.5000  0.5000
Os  0.7500  0.7500  0.7500
Ru  0.2500  0.2500  0.2500

Results
V	20.20	Å³/atom
theoretical density	12.402	g/cm³
SG	F-43m, No. 216
uncorrected energy	-0.2774	hartree per atom

Entry from the Alexandria database: a geometry-optimized PmErTlOs structure (GGA-PBE).

a b c (Å): 5.1124 5.1124 5.1124
angles (deg): 60.00 60.00 60.00
Element x y z (fractional)
Pm  0.0000  0.0000  0.0000
Er  0.5000  0.5000  0.5000
Tl  0.7500  0.7500  0.7500
Os  0.2500  0.2500  0.2500

Results
V	23.62	Å³/atom
theoretical density	12.423	g/cm³
SG	F-43m, No. 216
uncorrected energy	-0.2142	hartree per atom

Entry from the Alexandria database: a geometry-optimized PmErZnOs structure (GGA-PBE).

a b c (Å): 4.9543 4.9543 4.9543
angles (deg): 60.00 60.00 60.00
Element x y z (fractional)
Pm  0.0000  0.0000  0.0000
Er  0.5000  0.5000  0.5000
Zn  0.7500  0.7500  0.7500
Os  0.2500  0.2500  0.2500

Results
V	21.50	Å³/atom
theoretical density	10.967	g/cm³
SG	F-43m, No. 216
uncorrected energy	-0.2084	hartree per atom